No. 1
Here is crystalline NiTeBr6 at its relaxed geometry from Alexandria via LeMat-Bulk. Energies are from PBE-GGA.

a = 6.712 Å, b = 6.711 Å, c = 7.146 Å
α = 61.99°, β = 61.99°, γ = 60.00°
Each line ends with the local moment (μB).
Fractional coordinates of all 8 atoms:
Ni 0.000 0.000 0.000  1.26
Te 0.500 0.500 0.500  0.03
Br 0.082 0.392 0.762  0.08
Br 0.764 0.082 0.762  0.08
Br 0.608 0.236 0.238  0.08
Br 0.236 0.918 0.238  0.08
Br 0.918 0.608 0.238  0.08
Br 0.392 0.764 0.762  0.08

Calculated values
* V: 234.20 Å³/cell

---

No. 2
Here is crystalline NiTe2Br at its relaxed geometry from Alexandria via LeMat-Bulk. Energies are from PBE-GGA.

a = 5.327 Å, b = 5.327 Å, c = 3.183 Å
α = 90.00°, β = 90.00°, γ = 90.02°
Fractional coordinates of all 4 atoms:
Br 0.500 0.000 0.500
Ni 0.000 0.500 0.500
Te 0.000 0.000 0.000
Te 0.500 0.500 0.000

Calculated values
* V: 90.31 Å³/cell

---

No. 3
Here is crystalline NiTe2Br at its relaxed geometry from Alexandria via LeMat-Bulk. Energies are from PBE-GGA.

a = 3.886 Å, b = 3.886 Å, c = 7.973 Å
α = 75.89°, β = 75.89°, γ = 60.00°
Fractional coordinates of all 4 atoms:
Ni 0.669 0.669 0.993
Te 0.058 0.058 0.825
Te 0.281 0.281 0.157
Br 0.492 0.492 0.525

Calculated values
* V: 100.08 Å³/cell

---

No. 4
Here is crystalline NiTe2Br at its relaxed geometry from Alexandria via LeMat-Bulk. Energies are from PBE-GGA.

a = 5.078 Å, b = 5.082 Å, c = 5.086 Å
α = 69.34°, β = 72.81°, γ = 110.60°
Each line ends with the local moment (μB).
Fractional coordinates of all 4 atoms:
Br 0.000 0.500 0.500  0.04
Ni 0.500 0.500 0.000  0.55
Te 0.000 0.000 0.000  0.02
Te 0.500 0.000 0.500  0.02

Calculated values
* V: 100.93 Å³/cell

---

No. 5
Here is crystalline NiTe2Br at its relaxed geometry from Alexandria via LeMat-Bulk. Energies are from PBE-GGA.

a = 7.208 Å, b = 5.130 Å, c = 3.929 Å
α = 89.87°, β = 57.40°, γ = 116.74°
Fractional coordinates of all 4 atoms:
Ni 0.637 0.924 0.204
Te 0.476 0.097 0.862
Te 0.798 0.752 0.545
Br 0.137 0.424 0.704

Calculated values
* V: 103.37 Å³/cell

---

No. 6
Here is crystalline NiTeBr at its relaxed geometry from Alexandria via LeMat-Bulk. Energies are from PBE-GGA.

a = 6.433 Å, b = 6.433 Å, c = 6.433 Å
α = 149.98°, β = 149.98°, γ = 42.97°
Fractional coordinates of all 3 atoms:
Br 0.027 0.027 0.000
Ni 0.684 0.684 0.000
Te 0.289 0.289 0.000

Calculated values
* V: 66.46 Å³/cell

---

No. 7
Here is crystalline NiTe2Br at its relaxed geometry from Alexandria via LeMat-Bulk. Energies are from PBE-GGA.

a = 8.234 Å, b = 7.391 Å, c = 7.391 Å
α = 74.28°, β = 120.74°, γ = 59.26°
Fractional coordinates of all 8 atoms:
Ni 0.750 0.197 0.697
Ni 0.250 0.803 0.303
Te 0.074 0.238 0.904
Te 0.426 0.404 0.738
Te 0.926 0.762 0.096
Te 0.574 0.596 0.262
Br 0.750 0.992 0.492
Br 0.250 0.008 0.508

Calculated values
* V: 230.54 Å³/cell

---

No. 8
Here is crystalline NiTe2Br at its relaxed geometry from Alexandria via LeMat-Bulk. Energies are from PBE-GGA.

a = 5.086 Å, b = 5.086 Å, c = 5.086 Å
α = 60.00°, β = 60.00°, γ = 60.00°
Fractional coordinates of all 4 atoms:
Br 0.500 0.500 0.500
Ni 0.250 0.250 0.250
Te 0.000 0.000 0.000
Te 0.750 0.750 0.750

Calculated values
* V: 93.05 Å³/cell

---

No. 9
Here is crystalline NiTe2Br at its relaxed geometry from Alexandria via LeMat-Bulk. Energies are from PBE-GGA.

a = 3.913 Å, b = 3.913 Å, c = 7.911 Å
α = 90.00°, β = 90.00°, γ = 120.00°
Fractional coordinates of all 4 atoms:
Ni 0.000 0.000 0.997
Te 0.333 0.667 0.844
Te 0.667 0.333 0.161
Br 0.333 0.667 0.453

Calculated values
* V: 104.92 Å³/cell

---

No. 10
Here is crystalline NiTe2Br at its relaxed geometry from Alexandria via LeMat-Bulk. Energies are from PBE-GGA.

a = 7.141 Å, b = 4.879 Å, c = 9.949 Å
α = 102.61°, β = 44.78°, γ = 87.90°
Fractional coordinates of all 8 atoms:
Ni 0.793 0.063 0.536
Ni 0.053 0.182 0.775
Te 0.360 0.462 0.751
Te 0.053 0.366 0.559
Te 0.535 0.794 0.491
Te 0.706 0.957 0.820
Br 0.252 0.745 0.220
Br 0.881 0.180 0.091

Calculated values
* V: 228.89 Å³/cell

---

No. 11
Here is crystalline NiTe2Br at its relaxed geometry from Alexandria via LeMat-Bulk. Energies are from PBE-GGA.

a = 6.945 Å, b = 5.162 Å, c = 6.820 Å
α = 89.04°, β = 59.40°, γ = 88.13°
Fractional coordinates of all 8 atoms:
Ni 0.659 0.219 0.497
Ni 0.000 0.218 0.814
Te 0.317 0.494 0.786
Te 0.948 0.494 0.525
Te 0.341 0.943 0.525
Te 0.710 0.943 0.786
Br 0.659 0.444 0.156
Br 0.999 0.993 0.155

Calculated values
* V: 210.33 Å³/cell

---

No. 12
Here is crystalline NiTe2Br at its relaxed geometry from Alexandria via LeMat-Bulk. Energies are from PBE-GGA.

a = 7.634 Å, b = 4.884 Å, c = 11.991 Å
α = 90.00°, β = 90.00°, γ = 90.00°
Fractional coordinates of all 16 atoms:
Ni 0.987 0.250 0.633
Ni 0.513 0.750 0.133
Ni 0.013 0.750 0.367
Ni 0.487 0.250 0.867
Te 0.923 0.250 0.421
Te 0.577 0.750 0.921
Te 0.077 0.750 0.579
Te 0.423 0.250 0.079
Te 0.175 0.250 0.803
Te 0.325 0.750 0.303
Te 0.825 0.750 0.197
Te 0.675 0.250 0.697
Br 0.434 0.250 0.390
Br 0.066 0.750 0.890
Br 0.566 0.750 0.610
Br 0.934 0.250 0.110

Calculated values
* V: 447.09 Å³/cell

---

Number 1: uncorrected energy -20.9 eV/cell, total magnetic moment 1.96 Bohr magnetons per cell, formation energy from raw total energies -239 meV per atom. Number 2: uncorrected energy -11.5 eV/cell, total magnetic moment 0.00 Bohr magnetons per cell, formation energy from raw total energies 549 meV per atom. Number 3: uncorrected energy -14.7 eV/cell, total magnetic moment 0.00 Bohr magnetons per cell, formation energy from raw total energies -239 meV per atom. Number 4: uncorrected energy -12.4 eV/cell, total magnetic moment 0.66 Bohr magnetons per cell, formation energy from raw total energies 322 meV per atom. Number 5: uncorrected energy -14.4 eV/cell, total magnetic moment 0.00 Bohr magnetons per cell, formation energy from raw total energies -177 meV per atom. Number 6: uncorrected energy -10.1 eV/cell, total magnetic moment 0.00 Bohr magnetons per cell, formation energy from raw total energies 170 meV per atom. Number 7: uncorrected energy -28.4 eV/cell, total magnetic moment 0.00 Bohr magnetons per cell, formation energy from raw total energies -112 meV per atom. Number 8: uncorrected energy -11.4 eV/cell, total magnetic moment 0.00 Bohr magnetons per cell, formation energy from raw total energies 587 meV per atom. Number 9: uncorrected energy -14.7 eV/cell, total magnetic moment 0.00 Bohr magnetons per cell, formation energy from raw total energies -234 meV per atom. Number 10: uncorrected energy -28.9 eV/cell, total magnetic moment 0.00 Bohr magnetons per cell, formation energy from raw total energies -177 meV per atom. Number 11: uncorrected energy -29.0 eV/cell, total magnetic moment 0.00 Bohr magnetons per cell, formation energy from raw total energies -194 meV per atom. Number 12: uncorrected energy -55.3 eV/cell, total magnetic moment 0.00 Bohr magnetons per cell, formation energy from raw total energies -25 meV per atom.